Entry 1:
## SmLuAgRh (GGA-PBE)

Data for crystalline SmLuAgRh at its relaxed geometry.

Structure (extended XYZ):
```
4
Lattice="4.992 0.000 0.000 2.496 4.323 0.000 2.496 1.441 4.076" Properties=species:S:1:pos:R:3 pbc="T T T"
Rh 7.487 4.323 3.057
Lu 0.000 0.000 0.000
Sm 4.992 2.882 2.038
Ag 2.496 1.441 1.019
```

Calculated values
ΔH_f (0 K) (kcal/mol of atoms): -12.71
SG: F-43m (216)
DFT total energy (eV/atom): -5.41
DOS at the Fermi energy (states/eV per atom): 0.893

=====

Entry 2:
## LuAgSnRh (GGA-PBE)

Data for crystalline LuAgSnRh at its relaxed geometry.

Structure (extended XYZ):
```
4
Lattice="-4.579 -0.345 -1.302 -2.400 -4.053 0.767 -3.421 -0.155 3.324" Properties=species:S:1:pos:R:3 pbc="T T T"
Sn -2.600 -1.138 0.697
Rh -5.200 -2.276 1.395
Lu -7.800 -3.415 2.092
Ag 0.000 0.000 0.000
```

Calculated values
ΔH_f (0 K) (kcal/mol of atoms): -12.44
SG: F-43m (216)
DFT total energy (eV/atom): -5.22
DOS at the Fermi energy (states/eV per atom): 0.613

=====

Entry 3:
## TbLuAgRh (GGA-PBE)

Data for crystalline TbLuAgRh at its relaxed geometry.

Structure (extended XYZ):
```
4
Lattice="-2.063 -4.472 -0.488 1.682 -3.139 -3.436 2.509 -4.044 1.359" Properties=species:S:1:pos:R:3 pbc="T T T"
Lu 1.064 -5.827 -1.283
Rh 1.596 -8.741 -1.924
Ag 0.532 -2.914 -0.641
Tb 0.000 0.000 0.000
```

Calculated values
ΔH_f (0 K) (kcal/mol of atoms): -13.77
SG: F-43m (216)
DFT total energy (eV/atom): -5.44
DOS at the Fermi energy (states/eV per atom): 0.852

=====

Among the records above, which one has the highest DOS at the Fermi energy? SmLuAgRh

=====

Number 3 is which compound? TbLuAgRh

=====

The lowest DFT total energy belongs to which entry? TbLuAgRh